#a
CoAs2Cl | PBE | relaxed Values from VASP.

```
&SYSTEM
  ibrav = 0, nat = 4, ntyp = 3
/
ATOMIC_SPECIES
Co 58.93 Co.upf
As 74.92 As.upf
Cl 35.45 Cl.upf
CELL_PARAMETERS angstrom
0.0000 3.2412 3.2412
3.2412 0.0000 3.2412
3.2412 3.2412 0.0000
ATOMIC_POSITIONS crystal
Co 0.0000 0.0000 0.0000
As 0.2500 0.2500 0.2500
As 0.5000 0.5000 0.5000
Cl 0.7500 0.7500 0.7500
```

total moment: 1.9 μB/cell

***

#b
CoAs2Cl | PBE | relaxed Values from VASP.

```
&SYSTEM
  ibrav = 0, nat = 4, ntyp = 3
/
ATOMIC_SPECIES
Co 58.93 Co.upf
As 74.92 As.upf
Cl 35.45 Cl.upf
CELL_PARAMETERS angstrom
4.1251 -1.6092 0.0000
4.1251 1.6092 0.0000
-2.0570 0.0000 6.7528
ATOMIC_POSITIONS crystal
Co 0.0000 0.0000 0.0000
As 0.2699 0.2699 0.9395
As 0.4322 0.4322 0.7184
Cl 0.5985 0.5985 0.2498
```

total moment: 0.0 μB/cell

***

Bottom line: #b, by a margin of 637 meV per atom.

***

#a
CoAs2Cl | PBE | relaxed Values from VASP.

```
&SYSTEM
  ibrav = 0, nat = 4, ntyp = 3
/
ATOMIC_SPECIES
Co 58.93 Co.upf
As 74.92 As.upf
Cl 35.45 Cl.upf
CELL_PARAMETERS angstrom
4.2806 0.0000 0.0000
0.0000 3.4091 0.0000
-1.4513 0.0000 6.8842
ATOMIC_POSITIONS crystal
Co 0.0000 0.0000 0.0000
As 0.2578 0.5000 0.2841
As 0.5527 0.0000 0.1472
Cl 0.9007 0.5000 0.7837
```

total moment: 1.6 μB/cell

***

#b
CoAs2Cl | PBE | relaxed Values from VASP.

```
&SYSTEM
  ibrav = 0, nat = 4, ntyp = 3
/
ATOMIC_SPECIES
Co 58.93 Co.upf
As 74.92 As.upf
Cl 35.45 Cl.upf
CELL_PARAMETERS angstrom
3.6101 0.0000 0.0000
0.0000 3.6101 0.0000
0.0000 0.0000 6.2355
ATOMIC_POSITIONS crystal
Co 0.0000 0.0000 0.0000
As 0.0000 0.5000 0.5000
As 0.5000 0.0000 0.5000
Cl 0.5000 0.5000 0.0000
```

total moment: 2.2 μB/cell

***

#c
CoAs2Cl | PBE | relaxed Values from VASP.

```
&SYSTEM
  ibrav = 0, nat = 4, ntyp = 3
/
ATOMIC_SPECIES
Co 58.93 Co.upf
As 74.92 As.upf
Cl 35.45 Cl.upf
CELL_PARAMETERS angstrom
1.8396 1.0621 6.4546
-1.8396 1.0621 6.4546
0.0000 -2.1242 6.4546
ATOMIC_POSITIONS crystal
Co 0.0000 0.0000 0.0000
As 0.2803 0.2803 0.2803
As 0.7197 0.7197 0.7197
Cl 0.5000 0.5000 0.5000
```

total moment: 0.0 μB/cell

***

Bottom line: #a, by a margin of 38 meV per atom.

***

#a
CoAs2Cl | PBE | relaxed Values from VASP.

```
&SYSTEM
  ibrav = 0, nat = 8, ntyp = 3
/
ATOMIC_SPECIES
Co 58.93 Co.upf
As 74.92 As.upf
Cl 35.45 Cl.upf
CELL_PARAMETERS angstrom
-2.9053 2.9053 5.5376
2.9053 -2.9053 5.5376
2.9053 2.9053 -5.5376
ATOMIC_POSITIONS crystal
Co 0.0000 0.0000 0.0000
Co 0.7500 0.2500 0.5000
As 0.0166 0.6250 0.8916
As 0.3750 0.2666 0.3916
As 0.7334 0.1250 0.1084
As 0.8750 0.9834 0.6084
Cl 0.2500 0.7500 0.5000
Cl 0.5000 0.5000 0.0000
```

total moment: 0.0 μB/cell

***

#b
CoAs2Cl | PBE | relaxed Values from VASP.

```
&SYSTEM
  ibrav = 0, nat = 4, ntyp = 3
/
ATOMIC_SPECIES
Co 58.93 Co.upf
As 74.92 As.upf
Cl 35.45 Cl.upf
CELL_PARAMETERS angstrom
-2.5564 2.5564 2.7501
2.5564 -2.5564 2.7501
2.5564 2.5564 -2.7501
ATOMIC_POSITIONS crystal
Co 0.0000 0.0000 0.0000
As 0.0000 0.5000 0.5000
As 0.5000 0.0000 0.5000
Cl 0.5000 0.5000 0.0000
```

total moment: 1.6 μB/cell

***

Bottom line: #a, by a margin of 291 meV per atom.

***

#a
CoAs2Cl | PBE | relaxed Values from VASP.

```
&SYSTEM
  ibrav = 0, nat = 4, ntyp = 3
/
ATOMIC_SPECIES
Co 58.93 Co.upf
As 74.92 As.upf
Cl 35.45 Cl.upf
CELL_PARAMETERS angstrom
2.0549 -2.0595 0.0000
2.0549 2.0595 0.0000
0.0000 0.0000 8.7834
ATOMIC_POSITIONS crystal
Co 0.0000 0.0000 0.0000
As 0.0000 0.0000 0.5622
As 0.5000 0.5000 0.8364
Cl 0.5000 0.5000 0.1765
```

total moment: 1.1 μB/cell

***

#b
CoAs2Cl | PBE | relaxed Values from VASP.

```
&SYSTEM
  ibrav = 0, nat = 4, ntyp = 3
/
ATOMIC_SPECIES
Co 58.93 Co.upf
As 74.92 As.upf
Cl 35.45 Cl.upf
CELL_PARAMETERS angstrom
0.0000 3.1811 3.1811
3.1811 0.0000 3.1811
3.1811 3.1811 0.0000
ATOMIC_POSITIONS crystal
Co 0.0000 0.0000 0.0000
As 0.2500 0.2500 0.2500
As 0.7500 0.7500 0.7500
Cl 0.5000 0.5000 0.5000
```

total moment: 0.0 μB/cell

***

Bottom line: #a, by a margin of 370 meV per atom.

***

#a
CoAs2Cl | PBE | relaxed Values from VASP.

```
&SYSTEM
  ibrav = 0, nat = 4, ntyp = 3
/
ATOMIC_SPECIES
Co 58.93 Co.upf
As 74.92 As.upf
Cl 35.45 Cl.upf
CELL_PARAMETERS angstrom
3.2405 0.0000 0.0000
0.0000 3.2405 0.0000
0.0000 0.0000 7.1462
ATOMIC_POSITIONS crystal
Co 0.0000 0.0000 0.0000
As 0.0000 0.0000 0.3462
As 0.5000 0.5000 0.1250
Cl 0.5000 0.5000 0.7504
```

total moment: 0.0 μB/cell

***

#b
CoAs2Cl | PBE | relaxed Values from VASP.

```
&SYSTEM
  ibrav = 0, nat = 4, ntyp = 3
/
ATOMIC_SPECIES
Co 58.93 Co.upf
As 74.92 As.upf
Cl 35.45 Cl.upf
CELL_PARAMETERS angstrom
-1.4519 2.2529 5.3801
1.4519 -2.2529 5.3801
1.4519 2.2529 -5.3801
ATOMIC_POSITIONS crystal
Co 0.0000 0.0000 0.0000
As 0.1883 0.6883 0.5000
As 0.8117 0.3117 0.5000
Cl 0.5000 0.5000 0.0000
```

total moment: 1.3 μB/cell

***

Bottom line: #a, by a margin of 57 meV per atom.

***

#a
CoAs2Cl | PBE | relaxed Values from VASP.

```
&SYSTEM
  ibrav = 0, nat = 4, ntyp = 3
/
ATOMIC_SPECIES
Co 58.93 Co.upf
As 74.92 As.upf
Cl 35.45 Cl.upf
CELL_PARAMETERS angstrom
3.1726 -1.8325 0.0000
3.1726 1.8325 0.0000
-2.1237 0.0000 7.0340
ATOMIC_POSITIONS crystal
Co 0.0000 0.0000 0.0000
As 0.3833 0.3833 0.1484
As 0.6167 0.6167 0.8516
Cl 0.5000 0.5000 0.5000
```

total moment: 0.0 μB/cell

***

#b
CoAs2Cl | PBE | relaxed Values from VASP.

```
&SYSTEM
  ibrav = 0, nat = 4, ntyp = 3
/
ATOMIC_SPECIES
Co 58.93 Co.upf
As 74.92 As.upf
Cl 35.45 Cl.upf
CELL_PARAMETERS angstrom
2.6750 0.0000 0.0000
0.0000 3.3681 0.0000
0.0000 0.0000 8.3036
ATOMIC_POSITIONS crystal
Co 0.0000 0.0000 0.0000
As 0.5000 0.5000 0.1643
As 0.5000 0.5000 0.8357
Cl 0.0000 0.0000 0.5000
```

total moment: 0.6 μB/cell

***

Bottom line: #a, by a margin of 215 meV per atom.

***

#a
Co2AsCl | PBE | relaxed Values from VASP.

```
&SYSTEM
  ibrav = 0, nat = 4, ntyp = 3
/
ATOMIC_SPECIES
Co 58.93 Co.upf
As 74.92 As.upf
Cl 35.45 Cl.upf
CELL_PARAMETERS angstrom
-1.4628 2.9505 3.6960
1.4628 -2.9505 3.6960
1.4628 2.9505 -3.6960
ATOMIC_POSITIONS crystal
Co 0.2370 0.2370 0.0000
Co 0.7630 0.7630 0.0000
As 0.0000 0.5000 0.5000
Cl 0.5000 0.0000 0.5000
```

total moment: 1.6 μB/cell

***

#b
Co2AsCl | PBE | relaxed Values from VASP.

```
&SYSTEM
  ibrav = 0, nat = 4, ntyp = 3
/
ATOMIC_SPECIES
Co 58.93 Co.upf
As 74.92 As.upf
Cl 35.45 Cl.upf
CELL_PARAMETERS angstrom
0.0000 2.9989 2.9989
2.9989 0.0000 2.9989
2.9989 2.9989 0.0000
ATOMIC_POSITIONS crystal
Co 0.2500 0.2500 0.2500
Co 0.7500 0.7500 0.7500
As 0.0000 0.0000 0.0000
Cl 0.5000 0.5000 0.5000
```

total moment: 1.5 μB/cell

***

#c
Co2AsCl | PBE | relaxed Values from VASP.

```
&SYSTEM
  ibrav = 0, nat = 4, ntyp = 3
/
ATOMIC_SPECIES
Co 58.93 Co.upf
As 74.92 As.upf
Cl 35.45 Cl.upf
CELL_PARAMETERS angstrom
-1.6550 1.6550 6.0843
1.6550 -1.6550 6.0843
1.6550 1.6550 -6.0843
ATOMIC_POSITIONS crystal
Co 0.0000 0.0000 0.0000
Co 0.7500 0.2500 0.5000
As 0.2500 0.7500 0.5000
Cl 0.5000 0.5000 0.0000
```

total moment: 2.1 μB/cell

***

#d
Co2AsCl | PBE | relaxed Values from VASP.

```
&SYSTEM
  ibrav = 0, nat = 4, ntyp = 3
/
ATOMIC_SPECIES
Co 58.93 Co.upf
As 74.92 As.upf
Cl 35.45 Cl.upf
CELL_PARAMETERS angstrom
2.9542 0.0000 0.0000
0.0000 3.1163 0.0000
0.0000 0.0000 6.3515
ATOMIC_POSITIONS crystal
Co 0.0000 0.0000 0.1948
Co 0.0000 0.0000 0.8052
As 0.5000 0.5000 0.0000
Cl 0.5000 0.0000 0.5000
```

total moment: 1.5 μB/cell

***

Bottom line: #d, by a margin of 336 meV per atom.

***

#a
CoAsCl | PBE | relaxed Values from VASP.

```
&SYSTEM
  ibrav = 0, nat = 3, ntyp = 3
/
ATOMIC_SPECIES
Co 58.93 Co.upf
As 74.92 As.upf
Cl 35.45 Cl.upf
CELL_PARAMETERS angstrom
-1.4656 1.4656 6.6415
1.4656 -1.4656 6.6415
1.4656 1.4656 -6.6415
ATOMIC_POSITIONS crystal
Co 0.0000 0.0000 0.0000
As 0.6090 0.6090 0.0000
Cl 0.3831 0.3831 0.0000
```

total moment: 1.0 μB/cell

***

#b
CoAsCl | PBE | relaxed Values from VASP.

```
&SYSTEM
  ibrav = 0, nat = 3, ntyp = 3
/
ATOMIC_SPECIES
Co 58.93 Co.upf
As 74.92 As.upf
Cl 35.45 Cl.upf
CELL_PARAMETERS angstrom
0.0000 2.5143 6.5065
1.7838 0.0000 6.5065
1.7838 2.5143 0.0000
ATOMIC_POSITIONS crystal
Co 0.0000 0.0000 0.0000
As 0.3842 0.3842 0.6158
Cl 0.6198 0.6198 0.3802
```

total moment: 1.2 μB/cell

***

#c
CoAsCl | PBE | relaxed Values from VASP.

```
&SYSTEM
  ibrav = 0, nat = 6, ntyp = 3
/
ATOMIC_SPECIES
Co 58.93 Co.upf
As 74.92 As.upf
Cl 35.45 Cl.upf
CELL_PARAMETERS angstrom
-2.3040 2.4176 4.3727
2.3040 -2.4176 4.3727
2.3040 2.4176 -4.3727
ATOMIC_POSITIONS crystal
Co 0.3443 0.0943 0.2500
Co 0.6557 0.9057 0.7500
As 0.0832 0.8332 0.2500
As 0.9168 0.1668 0.7500
Cl 0.3762 0.6262 0.7500
Cl 0.6238 0.3738 0.2500
```

total moment: 0.3 μB/cell

***

#d
CoAsCl | PBE | relaxed Values from VASP.

```
&SYSTEM
  ibrav = 0, nat = 3, ntyp = 3
/
ATOMIC_SPECIES
Co 58.93 Co.upf
As 74.92 As.upf
Cl 35.45 Cl.upf
CELL_PARAMETERS angstrom
3.4500 0.0000 0.0000
-1.7250 2.9878 0.0000
0.0000 0.0000 5.3906
ATOMIC_POSITIONS crystal
Co 0.0000 0.0000 0.0000
As 0.6667 0.3333 0.2082
Cl 0.3333 0.6667 0.7314
```

total moment: 0.3 μB/cell

***

Bottom line: #d, by a margin of 42 meV per atom.